# 1
Below is a relaxed structure of Tl3CrO, with properties calculated at the GGA+U level.

distance to the lowest polymorph of the same formula = 383 meV per atom
magnetization = 0.00 μB per cell
VASP energy = -14.44 eV per cell

Cell lengths 4.889, 4.889, 4.889 Å; angles 90.00, 90.00, 90.00 degrees
Space group Pm-3m (No. 221)
Inequivalent atoms, fractional coordinates:
Tl1 0.000 0.000 0.500 x3
Cr1 0.500 0.500 0.500 x1
O1 0.000 0.000 0.000 x1

***

# 2
Below is a relaxed structure of TlCr2O4, with properties calculated at the GGA+U level.

magnetization = 52.25 μB per cell
VASP energy = -383.01 eV per cell

Cell lengths 8.974, 8.974, 8.974 Å; angles 90.00, 90.00, 90.00 degrees
Space group Fd-3m (No. 227, origin choice 2)
Inequivalent atoms, fractional coordinates:
Tl1 0.125 0.125 0.125 x8
Cr1 0.000 0.000 0.500 x16
O1 0.022 0.022 0.728 x32

***

# 3
Below is a relaxed structure of Tl3CrO4, with properties calculated at the GGA+U level.

magnetization = 2.00 μB per cell
VASP energy = -85.19 eV per cell

Cell lengths 8.498, 7.462, 5.563 Å; angles 90.00, 90.00, 90.00 degrees
Space group Pmn2_1 (No. 31)
Inequivalent atoms, fractional coordinates:
Tl1 0.000 0.207 0.000 x2
Tl2 0.229 0.692 0.997 x4
Cr1 0.000 0.895 0.461 x2
O1 0.000 0.125 0.533 x2
O2 0.000 0.888 0.139 x2
O3 0.171 0.801 0.557 x4

***

# 4
Below is a relaxed structure of Tl2CrO2, with properties calculated at the GGA+U level.

distance to the lowest polymorph of the same formula = 348 meV per atom
magnetization = 10.27 μB per cell
VASP energy = -45.49 eV per cell

Cell lengths 4.102, 4.102, 11.142 Å; angles 90.00, 90.00, 90.00 degrees
Space group I4/mmm (No. 139)
Inequivalent atoms, fractional coordinates:
Tl1 0.000 0.000 0.148 x4
Cr1 0.000 0.000 0.500 x2
O1 0.000 0.500 0.250 x4

***

# 5
Below is a relaxed structure of Tl3CrO6, with properties calculated at the GGA+U level.

magnetization = 0.00 μB per cell
VASP energy = -211.84 eV per cell

Cell lengths 8.836, 13.106, 5.968 Å; angles 90.00, 90.00, 90.00 degrees
Space group Cmc2_1 (No. 36)
Inequivalent atoms, fractional coordinates:
Tl1 0.000 0.067 0.000 x4
Tl2 0.173 0.406 0.014 x8
Cr1 0.000 0.268 0.554 x4
O1 0.000 0.221 0.820 x4
O2 0.000 0.394 0.575 x4
O3 0.153 0.231 0.414 x8
O4 0.171 0.004 0.253 x8

***

# 6
Below is a relaxed structure of TlCrO4, with properties calculated at the GGA+U level.

magnetization = 0.00 μB per cell
VASP energy = -70.19 eV per cell

Cell lengths 6.483, 6.483, 5.916 Å; angles 90.00, 90.00, 90.00 degrees
Space group I-4 (No. 82)
Inequivalent atoms, fractional coordinates:
Tl1 0.000 0.000 0.000 x2
Cr1 0.000 0.500 0.750 x2
O1 0.128 0.328 0.908 x8

***

# 7
Below is a relaxed structure of TlCr2O2, with properties calculated at the GGA+U level.

distance to the lowest polymorph of the same formula = 884 meV per atom
magnetization = 17.22 μB per cell
VASP energy = -56.53 eV per cell

Cell lengths 7.291, 7.291, 2.940 Å; angles 90.00, 90.00, 90.00 degrees
Space group P4/mbm (No. 127)
Inequivalent atoms, fractional coordinates:
Tl1 0.000 0.000 0.000 x2
Cr1 0.119 0.381 0.000 x4
O1 0.122 0.622 0.500 x4

***

# 8
Below is a relaxed structure of TlCrO2, with properties calculated at the GGA+U level.

distance to the lowest polymorph of the same formula = 736 meV per atom
magnetization = 8.95 μB per cell
VASP energy = -66.68 eV per cell

Cell lengths 4.1045, 4.1045, 20.0171 Å; angles 90.00, 90.00, 120.00 degrees
Space group R-3m (No. 166, hexagonal axes)
Inequivalent atoms, fractional coordinates:
Tl1 0.0000 0.0000 0.0000 x3
Cr1 0.0000 0.0000 0.5000 x3
O1 0.0000 0.0000 0.4136 x6

***

Q: VASP energy of number 2 (TlCr2O4)?
A: -383.01 eV per cell